! La2Mg3Co2 GGA-PBE optimized geometry; values from VASP
&SYSTEM
  ibrav = 0, nat = 7, ntyp = 3
/
ATOMIC_SPECIES
Mg 24.30 Mg.upf
La 138.91 La.upf
Co 58.93 Co.upf
CELL_PARAMETERS angstrom
-2.880 -2.414 -2.029
1.775 -2.359 4.781
-5.354 4.047 2.785
ATOMIC_POSITIONS crystal
Mg 0.323 0.646 0.142
La 0.629 0.257 0.361
Mg 0.000 0.000 0.000
La 0.371 0.743 0.639
Mg 0.677 0.354 0.858
Co 0.067 0.134 0.638
Co 0.933 0.866 0.362
! - Total DFT energy (no corrections): -4.195 eV per atom
! - Calculated formation energy: -7 kJ/mol of atoms
! - DOS(E_F): 5.1 states/eV per cell